BeNi2Cl | PBE | relaxed

Values from the calculation:
E_tot: -3.6661 eV per atom
SG: F-43m, No. 216

Unit cell a=5.7826 b=5.7826 c=5.7826 alpha=90.00 beta=90.00 gamma=90.00
Fractional positions:
Be1 0.0000 0.0000 0.0000
Be2 0.0000 0.5000 0.5000
Be3 0.5000 0.0000 0.5000
Be4 0.5000 0.5000 0.0000
Ni1 0.0000 0.0000 0.5000
Ni2 0.0000 0.5000 0.0000
Ni3 0.2500 0.2500 0.7500
Ni4 0.2500 0.7500 0.2500
Ni5 0.5000 0.0000 0.0000
Ni6 0.5000 0.5000 0.5000
Ni7 0.7500 0.2500 0.2500
Ni8 0.7500 0.7500 0.7500
Cl1 0.2500 0.2500 0.2500
Cl2 0.2500 0.7500 0.7500
Cl3 0.7500 0.2500 0.7500
Cl4 0.7500 0.7500 0.2500